Entry 1:
# Nd3BiN2

A relaxed structure of Nd3BiN2 (PBE, OQMD).

Calculated total energy (eV/cell): -41.96

a = 3.6875 Å, b = 3.6875 Å, c = 10.9790 Å
α = 90.00°, β = 90.00°, γ = 120.00°
Last column: nearest neighbours and their distance in Å.
Space group P-3m1 (No. 164)
One atom of each set of equivalent atoms:
Nd 0.0000 0.0000 0.0000 [1 per cell]  6 N 2.64
Nd 0.3333 0.6667 0.2560 [2 per cell]  3 N 2.47
Bi 0.0000 0.0000 0.5000 [1 per cell]  6 Nd 3.42, 6 Bi 3.69
N 0.3333 0.6667 0.8579 [2 per cell]  6 Nd 2.47-2.64



Entry 2:
# AcTbCu

A relaxed structure of AcTbCu (PBE, OQMD).

Calculated total energy (eV/cell): -41.87

a = 7.1064 Å, b = 7.1064 Å, c = 7.1064 Å
α = 90.00°, β = 90.00°, γ = 90.00°
Last column: nearest neighbours and their distance in Å.
Space group F-43m (No. 216)
One atom of each set of equivalent atoms:
Ac 0.0000 0.0000 0.0000 [4 per cell]  4 Tb 3.08
Tb 0.2500 0.2500 0.7500 [4 per cell]  4 Ac 3.08, 4 Cu 3.08
Cu 0.0000 0.0000 0.5000 [4 per cell]  4 Tb 3.08



Entry 3:
# AlHg3F

A relaxed structure of AlHg3F (PBE, OQMD).

Calculated total energy (eV/cell): -6.52

a = 5.0049 Å, b = 5.0049 Å, c = 5.0049 Å
α = 90.00°, β = 90.00°, γ = 90.00°
Last column: nearest neighbours and their distance in Å.
Space group Pm-3m (No. 221)
One atom of each set of equivalent atoms:
Al 0.0000 0.0000 0.0000 [1 per cell]  12 Hg 3.54
Hg 0.0000 0.5000 0.5000 [3 per cell]  2 F 2.50
F 0.5000 0.5000 0.5000 [1 per cell]  6 Hg 2.50



Entry 4:
# ScCoPd2

A relaxed structure of ScCoPd2 (PBE, OQMD).

Calculated total energy (eV/cell): -100.89

a = 6.2715 Å, b = 6.2715 Å, c = 6.2715 Å
α = 90.00°, β = 90.00°, γ = 90.00°
Last column: nearest neighbours and their distance in Å.
Space group F-43m (No. 216)
One atom of each set of equivalent atoms:
Sc 0.0000 0.0000 0.0000 [4 per cell]  4 Co 2.72, 4 Pd 2.72
Co 0.2500 0.2500 0.2500 [4 per cell]  4 Sc 2.72, 4 Pd 2.72
Pd 0.0000 0.0000 0.5000 [4 per cell]  4 Pd 2.72, 4 Co 2.72
Pd 0.2500 0.2500 0.7500 [4 per cell]  4 Sc 2.72, 4 Pd 2.72



Entry 5:
# HgBW

A relaxed structure of HgBW (PBE, OQMD).

Offset from the most stable computed form (meV/atom): 707

a = 5.9895 Å, b = 5.9895 Å, c = 5.9895 Å
α = 90.00°, β = 90.00°, γ = 90.00°
Last column: nearest neighbours and their distance in Å.
Space group F-43m (No. 216)
One atom of each set of equivalent atoms:
Hg 0.0000 0.0000 0.0000 [4 per cell]  4 W 2.59
B 0.0000 0.0000 0.5000 [4 per cell]  4 W 2.59
W 0.2500 0.2500 0.7500 [4 per cell]  4 Hg 2.59, 4 B 2.59



Entry 6:
# PaPd

A relaxed structure of PaPd (PBE, OQMD).

Calculated total energy (eV/cell): -15.20

a = 3.1548 Å, b = 3.1548 Å, c = 4.8036 Å
α = 90.00°, β = 90.00°, γ = 120.00°
Last column: nearest neighbours and their distance in Å.
Space group P-6m2 (No. 187)
One atom of each set of equivalent atoms:
Pa 0.0000 0.0000 0.0000 [1 per cell]  6 Pd 3.01, 6 Pa 3.15
Pd 0.6667 0.3333 0.5000 [1 per cell]  6 Pa 3.01, 6 Pd 3.15



Entry 7:
# ZnB4Sb

A relaxed structure of ZnB4Sb (PBE, OQMD).

Offset from the most stable computed form (meV/atom): 0

a = 3.0721 Å, b = 3.0721 Å, c = 8.0576 Å
α = 90.00°, β = 90.00°, γ = 120.00°
Last column: nearest neighbours and their distance in Å.
Space group P6/mmm (No. 191)
One atom of each set of equivalent atoms:
Zn 0.0000 0.0000 0.0000 [1 per cell]  12 B 2.44
B 0.3333 0.6667 0.2074 [4 per cell]  3 B 1.77
Sb 0.0000 0.0000 0.5000 [1 per cell]  12 B 2.95, 6 Sb 3.07



Entry 8:
# YInPt

A relaxed structure of YInPt (PBE, OQMD).

Calculated total energy (eV/cell): -49.95

a = 8.2857 Å, b = 8.2857 Å, c = 3.2978 Å
α = 90.00°, β = 90.00°, γ = 120.00°
Last column: nearest neighbours and their distance in Å.
Space group P-62m (No. 189)
One atom of each set of equivalent atoms:
Y 0.0000 0.2996 0.0000 [3 per cell]  4 In 2.91-2.98, 6 Pt 3.24
In 0.0000 0.0000 0.5000 [1 per cell]  6 Y 2.98, 3 Pt 3.02, 2 In 3.30
In 0.3333 0.6667 0.0000 [2 per cell]  3 Y 2.91, 6 Pt 3.12
Pt 0.0000 0.6359 0.5000 [3 per cell]  5 In 3.02-3.12, 6 Y 3.24, 2 Pt 3.30